Model a:
Density functional theory data (GGA+U) for crystalline Cr3GaO at its relaxed geometry.

Geometry as POSCAR:
```
Cr3GaO
1.0
4.895 0.000 0.000
0.000 4.895 0.000
0.000 0.000 4.895
Cr Ga O
3 1 1
direct
0.000 0.000 0.500 Cr
0.000 0.500 0.000 Cr
0.500 0.000 0.000 Cr
0.000 0.000 0.000 Ga
0.500 0.500 0.500 O
```

Space-group type   No. 221

=====

Model b:
Density functional theory data (GGA+U) for crystalline Cr3GaO at its relaxed geometry.

Geometry as POSCAR:
```
Cr3GaO
1.0
4.231 0.000 0.000
0.000 4.231 0.000
0.000 0.000 4.231
Cr Ga O
3 1 1
direct
0.000 0.000 0.500 Cr
0.000 0.500 0.000 Cr
0.500 0.000 0.000 Cr
0.500 0.500 0.500 Ga
0.000 0.000 0.000 O
```

Space-group type   No. 221

=====

The computed energies, referenced to the most stable structure and given in kJ/mol of atoms, are model a 134.5; model b 0.0.